[1]
Compound: ScFe3C
Source: the Alexandria database
Functional: PBE
Structure: optimized geometry

The structure belongs to space group P6_3/mmc (No. 194); the cell edges are 5.3867, 5.3867 and 9.2123 Å and the angles 90.00°, 90.00° and 120.00°. Symmetry generates all atoms from Sc at (0.0000, 0.0000, 0.0000), Sc at (0.3333, 0.6667, 0.2500), Fe at (0.0000, 0.5000, 0.0000), Fe at (0.1717, 0.3434, 0.7500) and C at (0.3333, 0.6667, 0.6184).

The value obtained for the formation energy is -6.5 kJ/mol of atoms. The calculation puts the density of states at the Fermi level at 25.20 states/eV/cell. The volume is 231 Å³ per cell. For the total magnetic moment, the calculation gives 0.61 μB per atom.



[2]
Compound: Mn3PtS
Source: the Alexandria database
Functional: PBE
Structure: optimized geometry

The structure belongs to space group Pm-3m (No. 221); the cell edges are 4.860, 4.860 and 4.860 Å and the angles 90.00°, 90.00° and 90.00°. Symmetry generates all atoms from Mn at (0.000, 0.000, 0.500), Pt at (0.000, 0.000, 0.000) and S at (0.500, 0.500, 0.500).

The calculation puts the density of states at the Fermi level at 3.37 states/eV/cell. The volume is 115 Å³ per cell. For the total magnetic moment, the calculation gives 2.65 μB per atom. The value obtained for the relative energy among the computed polymorphs is 0.355 eV per atom.



[3]
Compound: AcThZnSi
Source: the Alexandria database
Functional: PBE
Structure: optimized geometry

The structure belongs to space group F-43m (No. 216); the cell edges are 7.502, 7.502 and 7.502 Å and the angles 90.00°, 90.00° and 90.00°. Symmetry generates all atoms from Ac at (0.000, 0.000, 0.000), Th at (0.000, 0.000, 0.500), Zn at (0.250, 0.250, 0.250) and Si at (0.250, 0.250, 0.750).

The calculation puts the density of states at the Fermi level at 13.11 states/eV/cell. The volume is 422 Å³ per cell. The calculation puts the total energy at -4.79 eV/atom. For the total magnetic moment, the calculation gives 0.00 μB per atom.



[4]
Compound: ZrScAsP
Source: the Alexandria database
Functional: PBE
Structure: optimized geometry

The structure belongs to space group P4/mmm (No. 123); the cell edges are 3.797, 3.797 and 5.417 Å and the angles 90.00°, 90.00° and 90.00°. Symmetry generates all atoms from Zr at (0.000, 0.000, 0.000), Sc at (0.500, 0.500, 0.500), As at (0.000, 0.000, 0.500) and P at (0.500, 0.500, 0.000).

The value obtained for the formation energy is -128.8 kJ/mol of atoms. The calculation puts the density of states at the Fermi level at 1.47 states/eV/cell. The volume is 78 Å³ per cell. For the total magnetic moment, the calculation gives 0.00 μB per atom.



[5]
Compound: LaDyCdAu
Source: the Alexandria database
Functional: PBE
Structure: optimized geometry

The structure belongs to space group P4mm (No. 99); the cell edges are 3.724, 3.724 and 7.678 Å and the angles 90.00°, 90.00° and 90.00°. Symmetry generates all atoms from La at (0.000, 0.000, 0.000), Dy at (0.000, 0.000, 0.470), Cd at (0.500, 0.500, 0.718) and Au at (0.500, 0.500, 0.271).

The value obtained for the formation energy is -55.3 kJ/mol of atoms. The calculation puts the density of states at the Fermi level at 4.12 states/eV/cell. The volume is 106 Å³ per cell. For the total magnetic moment, the calculation gives 0.05 μB per atom. The value obtained for the relative energy among the computed polymorphs is 0.000 eV per atom.



[6]
Compound: AcIn6Pd12
Source: the Alexandria database
Functional: PBE
Structure: optimized geometry

The structure belongs to space group R-3m (No. 166, hexagonal axes); the cell edges are 12.0805, 12.0805 and 8.8849 Å and the angles 90.00°, 90.00° and 120.00°. Symmetry generates all atoms from Ac at (0.0000, 0.0000, 0.0000), In at (0.0527, 0.5263, 0.2436), Pd at (0.0000, 0.3852, 0.5000) and Pd at (0.0818, 0.1637, 0.2931).

The value obtained for the formation energy is -41.8 kJ/mol of atoms. The calculation puts the density of states at the Fermi level at 28.66 states/eV/cell. The volume is 1123 Å³ per cell. For the total magnetic moment, the calculation gives 0.00 μB per atom.



[7]
Compound: PmThP2
Source: the Alexandria database
Functional: PBE
Structure: optimized geometry

The structure belongs to space group Fm-3m (No. 225); the cell edges are 7.092, 7.092 and 7.092 Å and the angles 90.00°, 90.00° and 90.00°. Symmetry generates all atoms from Pm at (0.000, 0.000, 0.000), Th at (0.000, 0.000, 0.500) and P at (0.250, 0.250, 0.250).

The value obtained for the formation energy is -109.8 kJ/mol of atoms. The calculation puts the density of states at the Fermi level at 12.79 states/eV/cell. The volume is 357 Å³ per cell. For the total magnetic moment, the calculation gives 0.00 μB per atom. The value obtained for the relative energy among the computed polymorphs is 0.438 eV per atom.



[8]
Compound: LaSi2Sn2
Source: the Alexandria database
Functional: PBE
Structure: optimized geometry

The structure belongs to space group P4/mbm (No. 127); the cell edges are 7.764, 7.764 and 3.951 Å and the angles 90.00°, 90.00° and 90.00°. Symmetry generates all atoms from La at (0.000, 0.000, 0.000), Si at (0.112, 0.388, 0.000) and Sn at (0.166, 0.666, 0.500).

The calculation puts the density of states at the Fermi level at 6.84 states/eV/cell. The volume is 238 Å³ per cell. For the total magnetic moment, the calculation gives 0.00 μB per atom. The value obtained for the relative energy among the computed polymorphs is 0.000 eV per atom.



[9]
Compound: NaPuBiPd
Source: the Alexandria database
Functional: PBE
Structure: optimized geometry

The structure belongs to space group F-43m (No. 216); the cell edges are 7.185, 7.185 and 7.185 Å and the angles 90.00°, 90.00° and 90.00°. Symmetry generates all atoms from Na at (0.000, 0.000, 0.000), Pu at (0.250, 0.250, 0.250), Bi at (0.250, 0.250, 0.750) and Pd at (0.000, 0.000, 0.500).

The value obtained for the formation energy is -21.2 kJ/mol of atoms. The calculation puts the density of states at the Fermi level at 61.28 states/eV/cell. The volume is 371 Å³ per cell. For the total magnetic moment, the calculation gives 1.47 μB per atom.



[10]
Compound: Tl5Cd2Hg5
Source: the Alexandria database
Functional: PBE
Structure: optimized geometry

The structure belongs to space group C2/m (No. 12); the cell edges are 16.660, 4.966 and 10.534 Å and the angles 90.00°, 128.66° and 90.00°. Symmetry generates all atoms from Tl at (0.000, 0.000, 0.000), Tl at (0.161, 0.000, 0.893), Tl at (0.162, 0.000, 0.430), Cd at (0.166, 0.500, 0.166), Hg at (0.000, 0.000, 0.500), Hg at (0.000, 0.500, 0.235) and Hg at (0.176, 0.500, 0.677).

The value obtained for the formation energy is 1.5 kJ/mol of atoms. The calculation puts the density of states at the Fermi level at 10.09 states/eV/cell. The volume is 680 Å³ per cell. For the total magnetic moment, the calculation gives 0.00 μB per atom. The value obtained for the relative energy among the computed polymorphs is 0.000 eV per atom.



[11]
Compound: Pm2SnH
Source: the Alexandria database
Functional: PBE
Structure: optimized geometry

The structure belongs to space group I-4m2 (No. 119); the cell edges are 4.131, 4.131 and 10.718 Å and the angles 90.00°, 90.00° and 90.00°. Symmetry generates all atoms from Pm at (0.000, 0.000, 0.153), Sn at (0.000, 0.000, 0.500) and H at (0.000, 0.500, 0.250).

The calculation puts the density of states at the Fermi level at 3.76 states/eV/cell. The volume is 183 Å³ per cell. For the total magnetic moment, the calculation gives 0.21 μB per atom. The value obtained for the relative energy among the computed polymorphs is 0.066 eV per atom.



[12]
Compound: TcBRh3
Source: the Alexandria database
Functional: PBE
Structure: optimized geometry

The structure belongs to space group Pm-3m (No. 221); the cell edges are 4.091, 4.091 and 4.091 Å and the angles 90.00°, 90.00° and 90.00°. Symmetry generates all atoms from Tc at (0.000, 0.000, 0.000), B at (0.500, 0.500, 0.500) and Rh at (0.000, 0.500, 0.500).

The value obtained for the formation energy is 15.0 kJ/mol of atoms. The calculation puts the density of states at the Fermi level at 4.13 states/eV/cell. The volume is 68 Å³ per cell. For the total magnetic moment, the calculation gives 0.66 μB per atom. The value obtained for the relative energy among the computed polymorphs is 0.000 eV per atom.